*w*
Compound: BaNa4Sn
Source: the Alexandria database
Functional: GGA-PBE
Structure: relaxed

a = 5.755 Å, b = 9.192 Å, c = 9.149 Å
α = 90.00°, β = 108.33°, γ = 90.00°
Fractional positions:
Ba  0.619  0.250  0.238
Ba  0.381  0.750  0.762
Na  0.766  0.578  0.531
Na  0.234  0.078  0.469
Na  0.000  0.500  0.000
Na  0.596  0.750  0.191
Na  0.404  0.250  0.809
Na  0.766  0.922  0.531
Na  0.000  0.000  0.000
Na  0.234  0.422  0.469
Sn  0.821  0.250  0.643
Sn  0.179  0.750  0.357

Fermi-level density of states in states/eV per cell: 7.0

---

*x*
Compound: BaNa4Sn
Source: the Alexandria database
Functional: GGA-PBE
Structure: relaxed

a = 6.572 Å, b = 6.572 Å, c = 6.572 Å
α = 60.00°, β = 60.00°, γ = 60.00°
Fractional positions:
Na  0.626  0.626  0.626
Na  0.626  0.122  0.626
Na  0.122  0.626  0.626
Na  0.626  0.626  0.122
Ba  0.250  0.250  0.250
Sn  0.000  0.000  0.000

Fermi-level density of states in states/eV per cell: 1.4

---

Tell me which of them is the least stable. Sure, it is *w*.

---

*w*
Compound: Ba3Na2Sr2
Source: the Alexandria database
Functional: GGA-PBE
Structure: relaxed

a = 4.367 Å, b = 4.311 Å, c = 20.554 Å
α = 90.00°, β = 96.10°, γ = 90.00°
Fractional positions:
Na  0.147  0.000  0.293
Na  0.853  0.000  0.707
Ba  0.000  0.000  0.000
Ba  0.417  0.500  0.834
Ba  0.583  0.500  0.166
Sr  0.294  0.500  0.587
Sr  0.706  0.500  0.413

Fermi-level density of states in states/eV per cell: 8.7

---

*x*
Compound: Ba3Na2Sr2
Source: the Alexandria database
Functional: GGA-PBE
Structure: relaxed

a = 6.762 Å, b = 6.760 Å, c = 10.270 Å
α = 70.77°, β = 70.78°, γ = 59.99°
Fractional positions:
Ba  0.350  0.850  0.450
Ba  0.650  0.150  0.550
Ba  0.500  0.000  0.000
Sr  0.924  0.424  0.728
Sr  0.076  0.576  0.272
Na  0.217  0.718  0.848
Na  0.783  0.282  0.152

Fermi-level density of states in states/eV per cell: 7.9

---

Tell me which of them is the least stable. Sure, it is *w*.

---

*w*
Compound: Ba4NaSr2
Source: the Alexandria database
Functional: GGA-PBE
Structure: relaxed

a = 4.159 Å, b = 7.028 Å, c = 14.597 Å
α = 76.15°, β = 90.00°, γ = 90.00°
Fractional positions:
Ba  0.500  0.500  0.788
Ba  0.000  0.218  0.347
Ba  0.000  0.638  0.510
Ba  0.500  0.357  0.069
Na  0.000  0.931  0.929
Sr  0.500  0.079  0.628
Sr  0.500  0.777  0.229

Fermi-level density of states in states/eV per cell: 10.4

---

*x*
Compound: Ba4NaSr2
Source: the Alexandria database
Functional: GGA-PBE
Structure: relaxed

a = 4.255 Å, b = 10.662 Å, c = 10.550 Å
α = 116.71°, β = 101.63°, γ = 90.00°
Fractional positions:
Sr  0.220  0.143  0.439
Sr  0.780  0.857  0.561
Ba  0.362  0.596  0.723
Ba  0.638  0.404  0.277
Ba  0.924  0.288  0.848
Ba  0.076  0.712  0.152
Na  0.000  0.000  0.000

Fermi-level density of states in states/eV per cell: 9.4

---

Tell me which of them is the least stable. Sure, it is *w*.

---

*w*
Compound: Ba5NaSr4
Source: the Alexandria database
Functional: GGA-PBE
Structure: relaxed

a = 4.863 Å, b = 4.863 Å, c = 24.379 Å
α = 90.00°, β = 90.00°, γ = 90.00°
Fractional positions:
Sr  0.000  0.000  0.198
Sr  0.000  0.000  0.802
Sr  0.000  0.000  0.602
Sr  0.000  0.000  0.398
Na  0.000  0.000  0.000
Ba  0.500  0.500  0.908
Ba  0.500  0.500  0.703
Ba  0.500  0.500  0.297
Ba  0.500  0.500  0.500
Ba  0.500  0.500  0.092

Fermi-level density of states in states/eV per cell: 13.6

---

*x*
Compound: Ba5NaSr4
Source: the Alexandria database
Functional: GGA-PBE
Structure: relaxed

a = 6.959 Å, b = 9.866 Å, c = 9.866 Å
α = 82.85°, β = 69.35°, γ = 69.35°
Fractional positions:
Ba  0.599  0.000  0.000
Ba  0.157  0.635  0.000
Ba  0.792  0.000  0.365
Ba  0.792  0.365  0.000
Ba  0.157  0.000  0.635
Na  0.138  0.000  0.000
Sr  0.136  0.333  0.333
Sr  0.469  0.667  0.333
Sr  0.802  0.667  0.667
Sr  0.469  0.333  0.667

Fermi-level density of states in states/eV per cell: 13.5

---

Tell me which of them is the least stable. Sure, it is *x*.